First-principles (PBE-GGA) data for a relaxed LiLuFeSe3 crystal, as listed in OQMD via LeMat-Bulk.

Calculated values
spin magnetization: 3.68 μB per formula unit
ΔE to the lowest computed polymorph: 0.0 meV/atom
raw total energy: -64.00 eV/cell
theoretical density: 5620 kg/m3

```
data_LiLuFeSe3
_cell_length_a 7.7903
_cell_length_b 3.8868
_cell_length_c 9.4947
_cell_angle_alpha 90.00
_cell_angle_beta 102.69
_cell_angle_gamma 90.00
_symmetry_space_group_name_H-M 'P 1 21/m 1'
_symmetry_Int_Tables_number 11
loop_
_symmetry_equiv_pos_as_xyz
'x,y,z'
'-x,-y,-z'
'-x,y+1/2,-z'
'x,-y+1/2,z'
loop_
_atom_site_label
_atom_site_type_symbol
_atom_site_fract_x
_atom_site_fract_y
_atom_site_fract_z
Li1 Li 0.1731 0.2500 0.1375
Lu1 Lu 0.3341 0.7500 0.8451
Fe1 Fe 0.0671 0.2500 0.5846
Se1 Se 0.0727 0.2500 0.8438
Se2 Se 0.2444 0.7500 0.5365
Se3 Se 0.4102 0.7500 0.1493
```

---

First-principles (PBE-GGA) data for a relaxed LiLuFeSe3 crystal, as listed in OQMD via LeMat-Bulk.

Calculated values
spin magnetization: 3.99 μB per formula unit
ΔE to the lowest computed polymorph: 69.9 meV/atom
raw total energy: -126.32 eV/cell
theoretical density: 5895 kg/m3

```
data_LiLuFeSe3
_cell_length_a 3.9154
_cell_length_b 12.9248
_cell_length_c 10.5684
_cell_angle_alpha 90.00
_cell_angle_beta 90.00
_cell_angle_gamma 90.00
_symmetry_space_group_name_H-M 'C m c m'
_symmetry_Int_Tables_number 63
_symmetry_space_group_name_Hall '-C 2c 2'
loop_
_atom_site_label
_atom_site_type_symbol
_atom_site_fract_x
_atom_site_fract_y
_atom_site_fract_z
Li1 Li 0.0000 0.2199 0.2500
Lu1 Lu 0.0000 0.0000 0.0000
Fe1 Fe 0.0000 0.4780 0.7500
Se1 Se 0.0000 0.0927 0.7500
Se2 Se 0.0000 0.3587 0.5745
```

---

First-principles (PBE-GGA) data for a relaxed LiLuFeSe3 crystal, as listed in OQMD via LeMat-Bulk.

Calculated values
spin magnetization: 3.69 μB per formula unit
ΔE to the lowest computed polymorph: 14.7 meV/atom
raw total energy: -127.64 eV/cell
theoretical density: 5755 kg/m3

```
data_LiLuFeSe3
_cell_length_a 13.0807
_cell_length_b 3.8590
_cell_length_c 10.8519
_cell_angle_alpha 90.00
_cell_angle_beta 90.00
_cell_angle_gamma 90.00
_symmetry_space_group_name_H-M 'P n m a'
_symmetry_Int_Tables_number 62
loop_
_symmetry_equiv_pos_as_xyz
'x,y,z'
'-x,-y,-z'
'-x+1/2,-y,z+1/2'
'x+1/2,y,-z+1/2'
'x+1/2,-y+1/2,-z+1/2'
'-x+1/2,y+1/2,z+1/2'
'-x,y+1/2,-z'
'x,-y+1/2,z'
loop_
_atom_site_label
_atom_site_type_symbol
_atom_site_fract_x
_atom_site_fract_y
_atom_site_fract_z
Li1 Li 0.2387 0.2500 0.1033
Lu1 Lu 0.0119 0.2500 0.3402
Fe1 Fe 0.0094 0.7500 0.0790
Se1 Se 0.1069 0.7500 0.8849
Se2 Se 0.1196 0.2500 0.5623
Se3 Se 0.1405 0.7500 0.2378
```

---

First-principles (PBE-GGA) data for a relaxed LiLuFeSn crystal, as listed in OQMD via LeMat-Bulk.

Calculated values
spin magnetization: 1.92 μB per formula unit
ΔE to the lowest computed polymorph: 0.0 meV/atom
raw total energy: -78.57 eV/cell
theoretical density: 8498 kg/m3

```
data_LiLuFeSn
_cell_length_a 6.5313
_cell_length_b 6.5313
_cell_length_c 6.5313
_cell_angle_alpha 90.00
_cell_angle_beta 90.00
_cell_angle_gamma 90.00
_symmetry_space_group_name_H-M 'F -4 3 m'
_symmetry_Int_Tables_number 216
_symmetry_space_group_name_Hall 'F -4 2 3'
loop_
_atom_site_label
_atom_site_type_symbol
_atom_site_fract_x
_atom_site_fract_y
_atom_site_fract_z
Li1 Li 0.0000 0.0000 0.0000
Lu1 Lu 0.2500 0.2500 0.7500
Fe1 Fe 0.0000 0.0000 0.5000
Sn1 Sn 0.2500 0.2500 0.2500
```

---

First-principles (PBE-GGA) data for a relaxed LiLuFeSn crystal, as listed in OQMD via LeMat-Bulk.

Calculated values
spin magnetization: 2.04 μB per formula unit
ΔE to the lowest computed polymorph: 160.7 meV/atom
raw total energy: -76.00 eV/cell
theoretical density: 7948 kg/m3

```
data_LiLuFeSn
_cell_length_a 6.6787
_cell_length_b 6.6787
_cell_length_c 6.6787
_cell_angle_alpha 90.00
_cell_angle_beta 90.00
_cell_angle_gamma 90.00
_symmetry_space_group_name_H-M 'F -4 3 m'
_symmetry_Int_Tables_number 216
_symmetry_space_group_name_Hall 'F -4 2 3'
loop_
_atom_site_label
_atom_site_type_symbol
_atom_site_fract_x
_atom_site_fract_y
_atom_site_fract_z
Li1 Li 0.0000 0.0000 0.0000
Lu1 Lu 0.2500 0.2500 0.2500
Fe1 Fe 0.2500 0.2500 0.7500
Sn1 Sn 0.0000 0.0000 0.5000
```

---

First-principles (PBE-GGA) data for a relaxed LiLuFeTe3 crystal, as listed in OQMD via LeMat-Bulk.

Calculated values
spin magnetization: 3.68 μB per formula unit
ΔE to the lowest computed polymorph: 44.9 meV/atom
raw total energy: -113.82 eV/cell
theoretical density: 6368 kg/m3

```
data_LiLuFeTe3
_cell_length_a 11.1490
_cell_length_b 4.1266
_cell_length_c 14.0685
_cell_angle_alpha 90.00
_cell_angle_beta 90.00
_cell_angle_gamma 90.00
_symmetry_space_group_name_H-M 'P n m a'
_symmetry_Int_Tables_number 62
loop_
_symmetry_equiv_pos_as_xyz
'x,y,z'
'-x,-y,-z'
'-x+1/2,-y,z+1/2'
'x+1/2,y,-z+1/2'
'x+1/2,-y+1/2,-z+1/2'
'-x+1/2,y+1/2,z+1/2'
'-x,y+1/2,-z'
'x,-y+1/2,z'
loop_
_atom_site_label
_atom_site_type_symbol
_atom_site_fract_x
_atom_site_fract_y
_atom_site_fract_z
Li1 Li 0.2403 0.2500 0.0574
Lu1 Lu 0.0045 0.7500 0.7467
Fe1 Fe 0.2455 0.7500 0.2248
Te1 Te 0.0628 0.7500 0.1080
Te2 Te 0.0766 0.2500 0.6032
Te3 Te 0.2471 0.2500 0.3412
```

---

First-principles (PBE-GGA) data for a relaxed LiLuFeTe3 crystal, as listed in OQMD via LeMat-Bulk.

Calculated values
spin magnetization: 3.50 μB per formula unit
ΔE to the lowest computed polymorph: 0.0 meV/atom
raw total energy: -57.45 eV/cell
theoretical density: 6336 kg/m3

```
data_LiLuFeTe3
_cell_length_a 8.3635
_cell_length_b 4.0717
_cell_length_c 9.7811
_cell_angle_alpha 90.00
_cell_angle_beta 102.43
_cell_angle_gamma 90.00
_symmetry_space_group_name_H-M 'P 1 21/m 1'
_symmetry_Int_Tables_number 11
loop_
_symmetry_equiv_pos_as_xyz
'x,y,z'
'-x,-y,-z'
'-x,y+1/2,-z'
'x,-y+1/2,z'
loop_
_atom_site_label
_atom_site_type_symbol
_atom_site_fract_x
_atom_site_fract_y
_atom_site_fract_z
Li1 Li 0.1859 0.2500 0.2535
Lu1 Lu 0.3337 0.7500 0.8444
Fe1 Fe 0.0651 0.2500 0.5760
Te1 Te 0.0713 0.2500 0.8460
Te2 Te 0.2537 0.7500 0.5232
Te3 Te 0.4061 0.7500 0.1621
```

---

First-principles (PBE-GGA) data for a relaxed LiLuFeTe3 crystal, as listed in OQMD via LeMat-Bulk.

Calculated values
spin magnetization: 3.68 μB per formula unit
ΔE to the lowest computed polymorph: 44.0 meV/atom
raw total energy: -113.84 eV/cell
theoretical density: 6348 kg/m3

```
data_LiLuFeTe3
_cell_length_a 4.0971
_cell_length_b 14.2673
_cell_length_c 11.1075
_cell_angle_alpha 90.00
_cell_angle_beta 90.00
_cell_angle_gamma 90.00
_symmetry_space_group_name_H-M 'C m c m'
_symmetry_Int_Tables_number 63
_symmetry_space_group_name_Hall '-C 2c 2'
loop_
_atom_site_label
_atom_site_type_symbol
_atom_site_fract_x
_atom_site_fract_y
_atom_site_fract_z
Li1 Li 0.0000 0.1962 0.2500
Lu1 Lu 0.0000 0.0000 0.0000
Fe1 Fe 0.0000 0.4729 0.7500
Te1 Te 0.0000 0.0894 0.7500
Te2 Te 0.0000 0.3559 0.5688
```